w) Tc2HgGe | GGA-PBE | relaxed

ρ = 10.4 Mg/m³
symmetry = I-42d (122)

abc: 3.979 3.979 9.883
angles: 78.39 78.39 90.00
Fractional positions:
1 Ge 0.250 0.750 0.500
2 Tc 0.875 0.789 0.750
3 Tc 0.539 0.125 0.250
4 Tc 0.375 0.461 0.750
5 Ge 0.500 0.500 0.000
6 Tc 0.211 0.625 0.250
7 Hg 0.000 0.000 0.000
8 Hg 0.750 0.250 0.500

x) Tc2HgGe | GGA-PBE | relaxed

ρ = 12.2 Mg/m³
symmetry = Fm-3m (225)

abc: 4.487 4.487 4.487
angles: 60.00 60.00 60.00
Fractional positions:
1 Tc 0.750 0.750 0.750
2 Ge 0.000 0.000 0.000
3 Hg 0.500 0.500 0.500
4 Tc 0.250 0.250 0.250

Short version: x), w), most stable first.

w) Hg3GeTe | GGA-PBE | relaxed

ρ = 8.9 Mg/m³
symmetry = Pm-3m (221)

abc: 5.303 5.303 5.303
angles: 90.00 90.00 90.00
Site moments in Bohr magnetons follow the coordinates.
Fractional positions:
1 Te 0.500 0.500 0.500  0.15
2 Hg 0.500 0.000 0.000  0.01
3 Ge 0.000 0.000 0.000  0.03
4 Hg 0.000 0.000 0.500  0.00
5 Hg 0.000 0.500 0.000  0.01

x) Hg3GeTe | GGA-PBE | relaxed

ρ = 6.7 Mg/m³
symmetry = Pm-3m (221)

abc: 5.823 5.823 5.823
angles: 90.00 90.00 90.00
Site moments in Bohr magnetons follow the coordinates.
Fractional positions:
1 Hg 0.000 0.000 0.500  0.01
2 Hg 0.500 0.000 0.000  0.03
3 Ge 0.500 0.500 0.500  0.65
4 Hg 0.000 0.500 0.000  -0.01
5 Te 0.000 0.000 0.000  0.02

Short version: w), x), most stable first.

w) HgGe2Te2 | GGA-PBE | relaxed

ρ = 7.1 Mg/m³
symmetry = I4/mmm (139)

abc: 5.518 5.518 6.026
angles: 62.75 62.75 90.00
Fractional positions:
1 Ge 0.649 0.649 0.703
2 Hg 0.000 0.000 0.000
3 Te 0.250 0.750 0.500
4 Ge 0.351 0.351 0.297
5 Te 0.750 0.250 0.500

x) HgGe2Te2 | GGA-PBE | relaxed

ρ = 7.6 Mg/m³
symmetry = P4/mbm (127)

abc: 8.113 8.113 3.981
angles: 90.00 90.00 90.00
Fractional positions:
1 Te 0.158 0.658 0.500
2 Hg 0.500 0.500 0.000
3 Ge 0.141 0.359 0.000
4 Te 0.342 0.158 0.500
5 Te 0.658 0.842 0.500
6 Ge 0.859 0.641 0.000
7 Hg 0.000 0.000 0.000
8 Te 0.842 0.342 0.500
9 Ge 0.641 0.141 0.000
10 Ge 0.359 0.859 0.000

y) HgGe2Te2 | GGA-PBE | relaxed

ρ = 7.3 Mg/m³
symmetry = P4/mbm (127)

abc: 8.406 8.406 3.849
angles: 90.00 90.00 90.00
Fractional positions:
1 Hg 0.500 0.500 0.000
2 Hg 0.000 0.000 0.000
3 Ge 0.366 0.134 0.500
4 Te 0.653 0.153 0.000
5 Te 0.847 0.653 0.000
6 Te 0.153 0.347 0.000
7 Ge 0.134 0.634 0.500
8 Te 0.347 0.847 0.000
9 Ge 0.866 0.366 0.500
10 Ge 0.634 0.866 0.500

z) HgGe2Te2 | GGA-PBE | relaxed

ρ = 6.0 Mg/m³
symmetry = C2/c (15)

abc: 7.511 7.511 7.412
angles: 112.02 112.02 100.40
Fractional positions:
1 Te 0.394 0.606 0.250
2 Te 0.250 0.750 0.750
3 Te 0.606 0.394 0.750
4 Ge 0.230 0.390 0.437
5 Ge 0.390 0.230 0.937
6 Hg 0.089 0.911 0.250
7 Hg 0.911 0.089 0.750
8 Ge 0.610 0.770 0.063
9 Ge 0.770 0.610 0.563
10 Te 0.750 0.250 0.250

Short version: z), w), x), y), most stable first.

w) HgGeTe2 | GGA-PBE | relaxed

ρ = 5.8 Mg/m³
symmetry = I-42d (122)

abc: 6.643 6.643 8.338
angles: 66.52 66.52 90.00
Fractional positions:
1 Te 0.875 0.878 0.750
2 Hg 0.750 0.250 0.500
3 Te 0.375 0.372 0.750
4 Te 0.122 0.625 0.250
5 Hg 0.000 0.000 0.000
6 Ge 0.250 0.750 0.500
7 Ge 0.500 0.500 0.000
8 Te 0.628 0.125 0.250

x) HgGeTe2 | GGA-PBE | relaxed

ρ = 7.3 Mg/m³
symmetry = Pnma (62)

abc: 4.483 7.105 15.137
angles: 90.00 90.00 90.00
Fractional positions:
1 Te 0.250 0.768 0.968
2 Hg 0.250 0.103 0.406
3 Te 0.750 0.849 0.236
4 Te 0.750 0.651 0.736
5 Hg 0.250 0.397 0.906
6 Hg 0.750 0.897 0.594
7 Te 0.250 0.151 0.764
8 Te 0.250 0.349 0.264
9 Ge 0.250 0.042 0.141
10 Ge 0.750 0.542 0.359
11 Ge 0.750 0.958 0.859
12 Te 0.750 0.232 0.032
13 Ge 0.250 0.458 0.641
14 Te 0.750 0.268 0.532
15 Te 0.250 0.732 0.468
16 Hg 0.750 0.603 0.094

Short version: x), w), most stable first.

w) HgGeTe2 | GGA-PBE | relaxed

ρ = 6.0 Mg/m³
symmetry = R-3m (166)

abc: 8.870 8.870 8.870
angles: 29.25 29.25 29.25
Fractional positions:
1 Te 0.899 0.899 0.899
2 Hg 0.500 0.500 0.500
3 Ge 0.000 0.000 0.000
4 Te 0.101 0.101 0.101

x) HgGeTe2 | GGA-PBE | relaxed

ρ = 6.7 Mg/m³
symmetry = P2_1/c (14)

abc: 6.733 12.976 8.929
angles: 137.65 90.00 90.00
Fractional positions:
1 Te 0.725 0.573 0.186
2 Te 0.225 0.927 0.814
3 Te 0.243 0.881 0.269
4 Te 0.275 0.427 0.814
5 Te 0.257 0.381 0.269
6 Ge 0.169 0.109 0.755
7 Ge 0.831 0.891 0.245
8 Te 0.743 0.619 0.731
9 Ge 0.331 0.609 0.755
10 Hg 0.572 0.856 0.578
11 Hg 0.072 0.644 0.422
12 Hg 0.428 0.144 0.422
13 Te 0.757 0.119 0.731
14 Te 0.775 0.073 0.186
15 Hg 0.928 0.356 0.578
16 Ge 0.669 0.391 0.245

Short version: x), w), most stable first.

w) HgGeTe2 | GGA-PBE | relaxed

ρ = 6.1 Mg/m³
symmetry = R-3m (166)

abc: 11.303 11.303 11.303
angles: 19.68 19.68 19.68
Fractional positions:
1 Te 0.885 0.885 0.885
2 Ge 0.500 0.500 0.500
3 Hg 0.000 0.000 0.000
4 Te 0.115 0.115 0.115

x) HgGeTe2 | GGA-PBE | relaxed

ρ = 7.8 Mg/m³
symmetry = R3m (160)

abc: 4.160 4.160 7.871
angles: 74.68 74.68 60.00
Fractional positions:
1 Te 0.075 0.075 0.775
2 Ge 0.668 0.668 0.995
3 Te 0.257 0.257 0.229
4 Hg 0.500 0.500 0.501

Short version: x), w), most stable first.

w) Ti2HgGe2 | GGA-PBE | relaxed

ρ = 7.9 Mg/m³
symmetry = I4/mmm (139)

abc: 3.683 3.683 7.309
angles: 75.40 75.40 90.00
Site moments in Bohr magnetons follow the coordinates.
Fractional positions:
1 Hg 0.000 0.000 0.000  0.01
2 Ti 0.396 0.396 0.207  0.22
3 Ti 0.604 0.604 0.793  0.22
4 Ge 0.750 0.250 0.500  0.00
5 Ge 0.250 0.750 0.500  0.00

x) Ti2HgGe2 | GGA-PBE | relaxed

ρ = 8.4 Mg/m³
symmetry = P4/mbm (127)

abc: 7.137 7.137 3.445
angles: 90.00 90.00 90.00
Fractional positions:
1 Ti 0.658 0.842 0.500
2 Ti 0.342 0.158 0.500
3 Ge 0.636 0.136 0.000
4 Ge 0.864 0.636 0.000
5 Hg 0.000 0.000 0.000
6 Ti 0.158 0.658 0.500
7 Ge 0.364 0.864 0.000
8 Hg 0.500 0.500 0.000
9 Ti 0.842 0.342 0.500
10 Ge 0.136 0.364 0.000

y) Ti2HgGe2 | GGA-PBE | relaxed

ρ = 8.1 Mg/m³
symmetry = P4/mbm (127)

abc: 7.727 7.727 3.038
angles: 90.00 90.00 90.00
Site moments in Bohr magnetons follow the coordinates.
Fractional positions:
1 Hg 0.500 0.500 0.000  0.00
2 Ge 0.664 0.836 0.500  -0.02
3 Ge 0.836 0.336 0.500  -0.01
4 Ti 0.868 0.632 0.000  0.23
5 Ge 0.164 0.664 0.500  -0.01
6 Ti 0.368 0.868 0.000  0.25
7 Ge 0.336 0.164 0.500  -0.02
8 Ti 0.632 0.132 0.000  0.25
9 Hg 0.000 0.000 0.000  0.00
10 Ti 0.132 0.368 0.000  0.23

Short version: y), x), w), most stable first.

w) Tl2HgGe2 | GGA-PBE | relaxed

ρ = 9.2 Mg/m³
symmetry = P4/mbm (127)

abc: 9.069 9.069 3.308
angles: 90.00 90.00 90.00
Fractional positions:
1 Hg 0.500 0.500 0.000
2 Tl 0.689 0.189 0.000
3 Ge 0.103 0.603 0.500
4 Tl 0.189 0.311 0.000
5 Hg 0.000 0.000 0.000
6 Ge 0.603 0.897 0.500
7 Tl 0.311 0.811 0.000
8 Ge 0.397 0.103 0.500
9 Tl 0.811 0.689 0.000
10 Ge 0.897 0.397 0.500

x) Tl2HgGe2 | GGA-PBE | relaxed

ρ = 8.9 Mg/m³
symmetry = I4/mmm (139)

abc: 5.165 5.165 6.421
angles: 66.28 66.28 90.00
Fractional positions:
1 Tl 0.250 0.750 0.500
2 Ge 0.384 0.384 0.233
3 Hg 0.000 0.000 0.000
4 Tl 0.750 0.250 0.500
5 Ge 0.616 0.616 0.767

Short version: x), w), most stable first.